Entry 1:
Below is a relaxed ThSc2N crystal, with properties calculated at the GGA-PBE level.

Total DFT energy (no corrections): -7.97 eV/atom
V: 81.3 Å³/f.u.
Formation energy (no corrections): -871 meV/atom
ΔE to the lowest computed polymorph: 0.000 eV per atom
Total magnetization: 0.000 μB/atom

abc: 3.2989 3.2989 8.8291
angles: 79.23 79.23 60.00
Positions (direct):
Sc 0.2864 0.2864 0.1408
N 0.0000 0.0000 0.0000
Th 0.5000 0.5000 0.5000
Sc 0.7136 0.7136 0.8592

=====

Entry 2:
Below is a relaxed Th2ScTiN5 crystal, with properties calculated at the GGA-PBE level.

Total DFT energy (no corrections): -9.45 eV/atom
V: 121.9 Å³/f.u.
Formation energy (no corrections): -1600 meV/atom
Total magnetization: 0.000 μB/atom

abc: 3.4718 7.0423 10.2873
angles: 90.00 90.00 104.27
Positions (direct):
N 0.6242 0.2484 0.5089
Ti 0.4753 0.9507 0.4691
Th 0.1406 0.2812 0.2892
N 0.2845 0.5689 0.6601
N 0.3758 0.7516 0.0089
N 0.7155 0.4311 0.1601
Th 0.8594 0.7188 0.7892
Th 0.1138 0.2275 0.6909
N 0.4940 0.9881 0.7855
Sc 0.2120 0.4240 0.0011
Sc 0.7880 0.5760 0.5011
N 0.0520 0.1040 0.0482
N 0.9480 0.8960 0.5482
Th 0.8862 0.7725 0.1909
N 0.5060 0.0119 0.2855
N 0.6865 0.3730 0.8709
Ti 0.5247 0.0493 0.9691
N 0.3135 0.6270 0.3709

=====

Entry 3:
Below is a relaxed Th2ScWN5 crystal, with properties calculated at the GGA-PBE level.

Total DFT energy (no corrections): -9.31 eV/atom
V: 136.2 Å³/f.u.
Formation energy (no corrections): -892 meV/atom
Total magnetization: 0.000 μB/atom

abc: 5.9050 6.7926 6.7926
angles: 90.00 90.00 90.00
Positions (direct):
W 0.0000 0.0000 0.5000
Sc 0.0000 0.5000 0.5000
Th 0.5000 0.1712 0.3288
W 0.0000 0.5000 0.0000
N 0.2341 0.3556 0.1444
Th 0.5000 0.6712 0.1712
Sc 0.0000 0.0000 0.0000
Th 0.5000 0.8288 0.6712
N 0.2341 0.8556 0.3556
N 0.7659 0.6444 0.8556
N 0.7659 0.3556 0.1444
N 0.2341 0.1444 0.6444
N 0.5000 0.5000 0.5000
N 0.5000 0.0000 0.0000
N 0.7659 0.1444 0.6444
N 0.7659 0.8556 0.3556
Th 0.5000 0.3288 0.8288
N 0.2341 0.6444 0.8556

=====

Entry 4:
Below is a relaxed ScTi4N6 crystal, with properties calculated at the GGA-PBE level.

Total DFT energy (no corrections): -9.57 eV/atom
V: 112.5 Å³/f.u.
Formation energy (no corrections): -1579 meV/atom
Total magnetization: 0.000 μB/atom

abc: 2.9654 5.1723 15.3154
angles: 90.00 90.00 106.66
Positions (direct):
Ti 0.8704 0.7407 0.5498
Sc 0.3527 0.7054 0.7500
Ti 0.8704 0.7407 0.9502
N 0.6904 0.3808 0.7500
N 0.9648 0.9296 0.6608
Ti 0.6087 0.2174 0.6370
Ti 0.3913 0.7826 0.1370
N 0.3096 0.6192 0.2500
N 0.9648 0.9296 0.8392
Sc 0.6473 0.2946 0.2500
N 0.7685 0.5371 0.4167
N 0.5000 0.0000 0.0000
N 0.2315 0.4629 0.5833
N 0.0352 0.0704 0.1608
Ti 0.3913 0.7826 0.3630
N 0.7685 0.5371 0.0833
N 0.5000 0.0000 0.5000
N 0.2315 0.4629 0.9167
Ti 0.1296 0.2593 0.0498
Ti 0.6087 0.2174 0.8630
Ti 0.1296 0.2593 0.4502
N 0.0352 0.0704 0.3392

=====

Entry 5:
Below is a relaxed ScTi9N9 crystal, with properties calculated at the GGA-PBE level.

Total DFT energy (no corrections): -9.71 eV/atom
V: 195.2 Å³/f.u.
Formation energy (no corrections): -1695 meV/atom
Total magnetization: 0.000 μB/atom

abc: 5.2256 6.0466 6.7662
angles: 77.07 75.06 73.20
Positions (direct):
N 0.3981 0.1025 0.6932
N 0.8068 0.6932 0.8984
Ti 0.1039 0.8989 0.7944
N 0.8066 0.2055 0.8956
Ti 0.3145 0.7036 0.3978
Sc 0.5000 0.0000 0.0000
N 0.0000 0.0000 0.5000
Ti 0.1075 0.3964 0.8102
N 0.6019 0.8975 0.3068
Ti 0.8961 0.1011 0.2056
Ti 0.6917 0.8079 0.6058
N 0.1934 0.7945 0.1044
Ti 0.6855 0.2964 0.6022
Ti 0.3083 0.1921 0.3942
Ti 0.5000 0.5000 0.0000
N 0.1932 0.3068 0.1016
N 0.4027 0.5992 0.6987
N 0.5973 0.4008 0.3013
Ti 0.8925 0.6036 0.1898

=====

Entry 6:
Below is a relaxed ScTi4N2 crystal, with properties calculated at the GGA-PBE level.

Total DFT energy (no corrections): -7.27 eV/atom
V: 113.0 Å³/f.u.
Formation energy (no corrections): 524 meV/atom
Total magnetization: 0.000 μB/atom

abc: 4.5913 4.5913 6.2660
angles: 68.51 68.51 90.00
Positions (direct):
N 0.5608 0.5608 0.8784
Sc 0.0000 0.0000 0.0000
Ti 0.2687 0.2687 0.4626
Ti 0.0000 0.5000 0.0000
Ti 0.5000 0.0000 0.0000
N 0.4392 0.4392 0.1216
Ti 0.7313 0.7313 0.5374

=====

Entry 7:
Below is a relaxed Sc2TiN crystal, with properties calculated at the GGA-PBE level.

Total DFT energy (no corrections): -7.45 eV/atom
V: 82.1 Å³/f.u.
Formation energy (no corrections): -225 meV/atom
Total magnetization: 0.000 μB/atom

abc: 6.2956 6.2956 6.0802
angles: 58.82 58.82 90.00
Positions (direct):
Ti 0.7500 0.2500 0.5000
Ti 0.0000 0.0000 0.0000
N 0.5000 0.5000 0.0000
Sc 0.2563 0.6250 0.2500
Sc 0.4937 0.1250 0.2500
Sc 0.3750 0.5063 0.7500
N 0.2500 0.7500 0.5000
Sc 0.8750 0.7437 0.7500

=====

Entry 8:
Below is a relaxed ScTiN3 crystal, with properties calculated at the GGA-PBE level.

Total DFT energy (no corrections): -8.21 eV/atom
V: 57.6 Å³/f.u.
Formation energy (no corrections): -373 meV/atom
Total magnetization: 0.000 μB/atom

abc: 3.8626 3.8626 3.8626
angles: 90.00 90.00 90.00
Positions (direct):
Sc 0.5000 0.5000 0.5000
N 0.5000 0.0000 0.0000
N 0.0000 0.0000 0.5000
N 0.0000 0.5000 0.0000
Ti 0.0000 0.0000 0.0000

=====

Entry 9:
Below is a relaxed Sc3TiN crystal, with properties calculated at the GGA-PBE level.

Total DFT energy (no corrections): -5.54 eV/atom
V: 112.3 Å³/f.u.
Formation energy (no corrections): 1503 meV/atom
ΔE to the lowest computed polymorph: 2.107 eV per atom
Total magnetization: 0.000 μB/atom

abc: 4.8252 4.8252 4.8252
angles: 90.00 90.00 90.00
Positions (direct):
Sc 0.0000 0.5000 0.0000
N 0.5000 0.5000 0.5000
Sc 0.0000 0.0000 0.5000
Ti 0.0000 0.0000 0.0000
Sc 0.5000 0.0000 0.0000

=====

Entry 10:
Below is a relaxed ScTi3N3 crystal, with properties calculated at the GGA-PBE level.

Total DFT energy (no corrections): -9.02 eV/atom
V: 84.3 Å³/f.u.
Formation energy (no corrections): -1163 meV/atom
Total magnetization: 0.000 μB/atom

abc: 6.0847 6.0847 6.3260
angles: 61.25 61.25 60.00
Positions (direct):
Ti 0.8314 0.1306 0.6618
Ti 0.1306 0.3763 0.6618
Ti 0.8694 0.6237 0.3382
Sc 0.6745 0.6745 0.9766
N 0.0809 0.7049 0.7403
Ti 0.6237 0.1686 0.3382
N 0.9191 0.2951 0.2597
Ti 0.1686 0.8694 0.3382
N 0.4739 0.0809 0.7403
N 0.2951 0.5261 0.2597
Ti 0.3763 0.8314 0.6618
Sc 0.3255 0.3255 0.0234
N 0.5261 0.9191 0.2597
N 0.7049 0.4739 0.7403

=====

Entry 11:
Below is a relaxed Sc2TiN crystal, with properties calculated at the GGA-PBE level.

Total DFT energy (no corrections): -7.91 eV/atom
V: 68.5 Å³/f.u.
Formation energy (no corrections): -690 meV/atom
Total magnetization: 0.000 μB/atom

abc: 8.3956 8.3956 8.3956
angles: 21.32 21.32 21.32
Positions (direct):
Ti 0.0000 0.0000 0.0000
Sc 0.1163 0.1163 0.1163
N 0.5000 0.5000 0.5000
Sc 0.8837 0.8837 0.8837

=====

Entry 12:
Below is a relaxed Sc3TiN crystal, with properties calculated at the GGA-PBE level.

Total DFT energy (no corrections): -7.65 eV/atom
V: 91.2 Å³/f.u.
Formation energy (no corrections): -604 meV/atom
ΔE to the lowest computed polymorph: 0.000 eV per atom
Total magnetization: 0.691 μB/atom

abc: 4.5020 4.5020 4.5020
angles: 90.00 90.00 90.00
Site moments in Bohr magnetons follow the coordinates.
Positions (direct):
Ti 0.5000 0.5000 0.5000  1.42
Sc 0.0000 0.0000 0.5000  0.35
Sc 0.5000 0.0000 0.0000  0.25
N 0.0000 0.0000 0.0000  0.00
Sc 0.0000 0.5000 0.0000  0.29